Entry 1:
A geometry-optimized Nd3I structure. Source: the Alexandria database, functional PBE.

a b c (Å): 3.859 10.298 6.763
angles (deg): 90.00 90.00 90.00
Atoms (fractional coordinates):
Nd 0.000 0.000 0.000
Nd 0.000 0.209 0.619
Nd 0.000 0.791 0.619
Nd 0.500 0.291 0.119
Nd 0.500 0.500 0.500
Nd 0.500 0.709 0.119
I 0.000 0.500 0.877
I 0.500 0.000 0.377

DFT total energy: -4.274 eV per atom
ΔE_f (raw): -311 meV/atom
E above lowest polymorph: 0.0 meV per atom



Entry 2:
A geometry-optimized CoSi2Ni structure. Source: the Alexandria database, functional PBE.

a b c (Å): 5.606 5.606 5.606
angles (deg): 90.00 90.00 90.00
Atoms (fractional coordinates):
Co 0.000 0.000 0.000
Co 0.000 0.500 0.500
Co 0.500 0.000 0.500
Co 0.500 0.500 0.000
Si 0.250 0.250 0.250
Si 0.250 0.250 0.750
Si 0.250 0.750 0.250
Si 0.250 0.750 0.750
Si 0.750 0.250 0.250
Si 0.750 0.250 0.750
Si 0.750 0.750 0.250
Si 0.750 0.750 0.750
Ni 0.000 0.000 0.500
Ni 0.000 0.500 0.000
Ni 0.500 0.000 0.000
Ni 0.500 0.500 0.500

DFT total energy: -6.277 eV per atom
ΔE_f (raw): -344 meV/atom



Entry 3:
A geometry-optimized CaCdHPd2 structure. Source: the Alexandria database, functional PBE.

a b c (Å): 4.327 4.327 4.281
angles (deg): 90.00 90.00 90.00
Atoms (fractional coordinates):
Ca 0.000 0.000 0.000
Cd 0.500 0.500 0.000
H 0.500 0.500 0.500
Pd 0.000 0.500 0.500
Pd 0.500 0.000 0.500

DFT total energy: -3.588 eV per atom
E above lowest polymorph: 129.2 meV per atom



Entry 4:
A geometry-optimized K2SrTi10O22 structure. Source: the Alexandria database, functional PBE.

a b c (Å): 8.010 8.010 15.738
angles (deg): 103.00 103.00 27.51
Atoms (fractional coordinates):
K 0.000 0.000 0.000
K 0.067 0.067 0.690
Sr 0.956 0.956 0.368
Ti 0.267 0.267 0.375
Ti 0.309 0.309 0.970
Ti 0.344 0.344 0.575
Ti 0.374 0.374 0.173
Ti 0.414 0.414 0.780
Ti 0.611 0.611 0.288
Ti 0.652 0.652 0.894
Ti 0.675 0.675 0.499
Ti 0.713 0.713 0.102
Ti 0.754 0.754 0.701
O 0.133 0.133 0.310
O 0.179 0.179 0.903
O 0.210 0.210 0.494
O 0.246 0.246 0.097
O 0.282 0.282 0.691
O 0.331 0.331 0.296
O 0.371 0.371 0.888
O 0.376 0.376 0.468
O 0.408 0.408 0.068
O 0.443 0.443 0.662
O 0.489 0.489 0.250
O 0.533 0.533 0.834
O 0.570 0.570 0.419
O 0.621 0.621 0.007
O 0.649 0.649 0.607
O 0.651 0.651 0.187
O 0.697 0.697 0.785
O 0.737 0.737 0.382
O 0.781 0.781 0.980
O 0.812 0.812 0.579
O 0.848 0.848 0.176
O 0.886 0.886 0.768

DFT total energy: -8.459 eV per atom
ΔE_f (raw): -2976 meV/atom



Entry 5:
A geometry-optimized Zr2Ag3Hg2 structure. Source: the Alexandria database, functional PBE.

a b c (Å): 4.815 20.085 2.940
angles (deg): 90.00 90.00 90.00
Atoms (fractional coordinates):
Zr 0.000 0.148 0.000
Zr 0.000 0.852 0.000
Zr 0.500 0.352 0.000
Zr 0.500 0.648 0.000
Ag 0.000 0.000 0.500
Ag 0.000 0.283 0.500
Ag 0.000 0.717 0.500
Ag 0.500 0.217 0.500
Ag 0.500 0.500 0.500
Ag 0.500 0.783 0.500
Hg 0.000 0.423 0.500
Hg 0.000 0.577 0.500
Hg 0.500 0.077 0.500
Hg 0.500 0.923 0.500

DFT total energy: -3.780 eV per atom
DFT formation energy: -0.029 eV/atom
E above lowest polymorph: 0.0 meV per atom



Entry 6:
A geometry-optimized Ca2CdCl structure. Source: the Alexandria database, functional PBE.

a b c (Å): 3.831 5.618 5.617
angles (deg): 90.00 90.09 90.00
Atoms (fractional coordinates):
Ca 0.000 0.000 0.000
Ca 0.000 0.500 0.499
Cd 0.500 0.000 0.499
Cl 0.000 0.500 0.999

DFT total energy: -2.599 eV per atom
ΔE_f (raw): -908 meV/atom
E above lowest polymorph: 65.9 meV per atom



Entry 7:
A geometry-optimized CeNpOs4 structure. Source: the Alexandria database, functional PBE.

a b c (Å): 5.365 5.365 5.365
angles (deg): 60.00 60.00 60.00
Atoms (fractional coordinates):
Ce 0.000 0.000 0.000
Np 0.250 0.250 0.250
Os 0.126 0.625 0.625
Os 0.625 0.126 0.625
Os 0.625 0.625 0.126
Os 0.625 0.625 0.625

DFT total energy: -10.735 eV per atom
DFT formation energy: -0.103 eV/atom



Entry 8:
A geometry-optimized AlCdIn structure. Source: the Alexandria database, functional PBE.

a b c (Å): 3.073 5.532 8.328
angles (deg): 74.47 82.55 82.78
Atoms (fractional coordinates):
Al 0.000 0.000 0.000
Al 0.493 0.665 0.238
Cd 0.555 0.069 0.682
Cd 0.940 0.596 0.557
In 0.091 0.160 0.321
In 0.398 0.505 0.917

DFT total energy: -2.363 eV per atom
DFT formation energy: 0.102 eV/atom



Entry 9:
A geometry-optimized PrBePd4 structure. Source: the Alexandria database, functional PBE.

a b c (Å): 7.703 3.834 6.876
angles (deg): 90.00 90.00 90.00
Atoms (fractional coordinates):
Pr 0.250 0.000 0.124
Pr 0.750 0.000 0.876
Be 0.250 0.000 0.680
Be 0.750 0.000 0.320
Pd 0.000 0.000 0.500
Pd 0.067 0.500 0.805
Pd 0.250 0.500 0.455
Pd 0.433 0.500 0.805
Pd 0.500 0.000 0.500
Pd 0.567 0.500 0.195
Pd 0.750 0.500 0.545
Pd 0.933 0.500 0.195

DFT total energy: -5.491 eV per atom
DFT formation energy: -0.612 eV/atom



Entry 10:
A geometry-optimized Dy7Tl2Cd2 structure. Source: the Alexandria database, functional PBE.

a b c (Å): 6.813 6.813 7.908
angles (deg): 90.00 90.00 110.59
Atoms (fractional coordinates):
Dy 0.000 0.000 0.000
Dy 0.000 0.500 0.291
Dy 0.000 0.500 0.709
Dy 0.500 0.000 0.291
Dy 0.500 0.000 0.709
Dy 0.500 0.500 0.271
Dy 0.500 0.500 0.729
Tl 0.297 0.703 0.000
Tl 0.703 0.297 0.000
Cd 0.176 0.176 0.500
Cd 0.824 0.824 0.500

DFT total energy: -3.500 eV per atom
DFT formation energy: 0.026 eV/atom



Entry 11:
A geometry-optimized LiCeCl6 structure. Source: the Alexandria database, functional PBE.

a b c (Å): 7.316 7.316 7.316
angles (deg): 60.00 60.00 60.00
Atoms (fractional coordinates):
Li 0.000 0.000 0.000
Ce 0.500 0.500 0.500
Cl 0.246 0.246 0.754
Cl 0.246 0.754 0.246
Cl 0.246 0.754 0.754
Cl 0.754 0.246 0.246
Cl 0.754 0.246 0.754
Cl 0.754 0.754 0.246

DFT total energy: -3.879 eV per atom
ΔE_f (raw): -1513 meV/atom
E above lowest polymorph: 0.0 meV per atom



Entry 12:
A geometry-optimized Sc2ReP structure. Source: the Alexandria database, functional PBE.

a b c (Å): 3.621 3.621 5.552
angles (deg): 90.00 90.00 90.00
Atoms (fractional coordinates):
Sc 0.000 0.000 0.000
Sc 0.500 0.500 0.333
Re 0.500 0.500 0.829
P 0.000 0.000 0.497

DFT total energy: -7.735 eV per atom
DFT formation energy: -0.104 eV/atom



Number 1: spin magnetization 0.00 μB/f.u., DOS(E_F) 1.1794 states/eV/atom, volume 268.7 Å³ per cell. Number 2: spin magnetization 0.00 μB/f.u., DOS(E_F) 0.6819 states/eV/atom, volume 176.2 Å³ per cell. Number 3: spin magnetization 0.00 μB/f.u., DOS(E_F) 0.3407 states/eV/atom, volume 80.1 Å³ per cell. Number 4: spin magnetization 0.00 μB/f.u., DOS(E_F) 0.0000 states/eV/atom, volume 453.7 Å³ per cell. Number 5: spin magnetization 0.00 μB/f.u., DOS(E_F) 0.4412 states/eV/atom, volume 284.4 Å³ per cell. Number 6: spin magnetization 0.01 μB/f.u., DOS(E_F) 0.9425 states/eV/atom, volume 120.9 Å³ per cell. Number 7: spin magnetization 3.20 μB/f.u., DOS(E_F) 0.9540 states/eV/atom, volume 109.2 Å³ per cell. Number 8: spin magnetization 0.00 μB/f.u., DOS(E_F) 0.3651 states/eV/atom, volume 134.6 Å³ per cell. Number 9: spin magnetization 0.00 μB/f.u., DOS(E_F) 0.4005 states/eV/atom, volume 203.0 Å³ per cell. Number 10: spin magnetization 0.00 μB/f.u., DOS(E_F) 1.2436 states/eV/atom, volume 343.6 Å³ per cell. Number 11: spin magnetization 0.01 μB/f.u., DOS(E_F) 1.2745 states/eV/atom, volume 276.9 Å³ per cell. Number 12: spin magnetization 0.00 μB/f.u., DOS(E_F) 1.0034 states/eV/atom, volume 72.8 Å³ per cell.